# Sm3Er GGA-PBEsol optimized geometry
data_Sm3Er
_cell_length_a 7.119
_cell_length_b 7.119
_cell_length_c 5.659
_cell_angle_alpha 90.00
_cell_angle_beta 90.00
_cell_angle_gamma 120.00
_symmetry_space_group_name_H-M 'P 1'
_symmetry_Int_Tables_number 1
loop_
_symmetry_equiv_pos_as_xyz
'x,y,z'
loop_
_atom_site_label
_atom_site_type_symbol
_atom_site_fract_x
_atom_site_fract_y
_atom_site_fract_z
Sm1 Sm 0.167 0.334 0.250
Sm2 Sm 0.167 0.833 0.250
Sm3 Sm 0.334 0.167 0.750
Sm4 Sm 0.666 0.833 0.250
Sm5 Sm 0.833 0.167 0.750
Sm6 Sm 0.833 0.666 0.750
Er1 Er 0.333 0.667 0.750
Er2 Er 0.667 0.333 0.250
# V ... 248.4 Å³ per cell
# ΔE to the lowest computed polymorph ... 0.055 eV/f.u.
# Density of states at the Fermi level ... 1.62 states/eV/atom
# Space-group type ... P6_3/mmc (194)
# Uncorrected energy ... -5.031 eV/atom


# TePPt2 GGA-PBEsol optimized geometry
data_TePPt2
_cell_length_a 4.463
_cell_length_b 4.762
_cell_length_c 6.426
_cell_angle_alpha 90.00
_cell_angle_beta 90.00
_cell_angle_gamma 90.00
_symmetry_space_group_name_H-M 'P 1'
_symmetry_Int_Tables_number 1
loop_
_symmetry_equiv_pos_as_xyz
'x,y,z'
loop_
_atom_site_label
_atom_site_type_symbol
_atom_site_fract_x
_atom_site_fract_y
_atom_site_fract_z
Te1 Te 0.000 0.000 0.000
Te2 Te 0.500 0.500 0.500
P1 P 0.000 0.000 0.500
P2 P 0.500 0.500 0.000
Pt1 Pt 0.000 0.500 0.231
Pt2 Pt 0.000 0.500 0.769
Pt3 Pt 0.500 0.000 0.269
Pt4 Pt 0.500 0.000 0.731
# V ... 136.6 Å³ per cell
# ΔE_f (raw) ... 14.47 kJ per mole of atoms
# ΔE to the lowest computed polymorph ... 1.769 eV/f.u.
# Density of states at the Fermi level ... 0.38 states/eV/atom
# Space-group type ... Immm (71)
# Uncorrected energy ... -5.661 eV/atom


# Ho4RuBr5 GGA-PBEsol optimized geometry
data_Ho4RuBr5
_cell_length_a 11.550
_cell_length_b 11.550
_cell_length_c 16.780
_cell_angle_alpha 90.00
_cell_angle_beta 90.00
_cell_angle_gamma 90.00
_symmetry_space_group_name_H-M 'P 1'
_symmetry_Int_Tables_number 1
loop_
_symmetry_equiv_pos_as_xyz
'x,y,z'
loop_
_atom_site_label
_atom_site_type_symbol
_atom_site_fract_x
_atom_site_fract_y
_atom_site_fract_z
Ho1 Ho 0.080 0.134 0.173
Ho2 Ho 0.080 0.366 0.327
Ho3 Ho 0.117 0.617 0.844
Ho4 Ho 0.117 0.883 0.656
Ho5 Ho 0.134 0.080 0.827
Ho6 Ho 0.134 0.420 0.673
Ho7 Ho 0.137 0.637 0.522
Ho8 Ho 0.137 0.863 0.978
Ho9 Ho 0.363 0.637 0.978
Ho10 Ho 0.363 0.863 0.522
Ho11 Ho 0.366 0.080 0.673
Ho12 Ho 0.366 0.420 0.827
Ho13 Ho 0.383 0.617 0.656
Ho14 Ho 0.383 0.883 0.844
Ho15 Ho 0.420 0.134 0.327
Ho16 Ho 0.420 0.366 0.173
Ho17 Ho 0.580 0.634 0.827
Ho18 Ho 0.580 0.866 0.673
Ho19 Ho 0.617 0.117 0.156
Ho20 Ho 0.617 0.383 0.344
Ho21 Ho 0.634 0.580 0.173
Ho22 Ho 0.634 0.920 0.327
Ho23 Ho 0.637 0.137 0.478
Ho24 Ho 0.637 0.363 0.022
Ho25 Ho 0.863 0.137 0.022
Ho26 Ho 0.863 0.363 0.478
Ho27 Ho 0.866 0.580 0.327
Ho28 Ho 0.866 0.920 0.173
Ho29 Ho 0.883 0.117 0.344
Ho30 Ho 0.883 0.383 0.156
Ho31 Ho 0.920 0.634 0.673
Ho32 Ho 0.920 0.866 0.827
Ru1 Ru 0.149 0.649 0.681
Ru2 Ru 0.149 0.851 0.819
Ru3 Ru 0.351 0.649 0.819
Ru4 Ru 0.351 0.851 0.681
Ru5 Ru 0.649 0.149 0.319
Ru6 Ru 0.649 0.351 0.181
Ru7 Ru 0.851 0.149 0.181
Ru8 Ru 0.851 0.351 0.319
Br1 Br 0.110 0.610 0.340
Br2 Br 0.110 0.890 0.160
Br3 Br 0.118 0.118 0.000
Br4 Br 0.118 0.382 0.500
Br5 Br 0.123 0.623 0.022
Br6 Br 0.123 0.877 0.478
Br7 Br 0.125 0.152 0.661
Br8 Br 0.125 0.348 0.839
Br9 Br 0.152 0.125 0.339
Br10 Br 0.152 0.375 0.161
Br11 Br 0.348 0.125 0.161
Br12 Br 0.348 0.375 0.339
Br13 Br 0.375 0.152 0.839
Br14 Br 0.375 0.348 0.661
Br15 Br 0.377 0.623 0.478
Br16 Br 0.377 0.877 0.022
Br17 Br 0.382 0.118 0.500
Br18 Br 0.382 0.382 0.000
Br19 Br 0.390 0.610 0.160
Br20 Br 0.390 0.890 0.340
Br21 Br 0.610 0.110 0.660
Br22 Br 0.610 0.390 0.840
Br23 Br 0.618 0.618 0.000
Br24 Br 0.618 0.882 0.500
Br25 Br 0.623 0.123 0.978
Br26 Br 0.623 0.377 0.522
Br27 Br 0.625 0.652 0.339
Br28 Br 0.625 0.848 0.161
Br29 Br 0.652 0.625 0.661
Br30 Br 0.652 0.875 0.839
Br31 Br 0.848 0.625 0.839
Br32 Br 0.848 0.875 0.661
Br33 Br 0.875 0.652 0.161
Br34 Br 0.875 0.848 0.339
Br35 Br 0.877 0.123 0.522
Br36 Br 0.877 0.377 0.978
Br37 Br 0.882 0.618 0.500
Br38 Br 0.882 0.882 0.000
Br39 Br 0.890 0.110 0.840
Br40 Br 0.890 0.390 0.660
# V ... 2238.6 Å³ per cell
# ΔE_f (raw) ... -134.26 kJ per mole of atoms
# Density of states at the Fermi level ... 0.09 states/eV/atom
# Space-group type ... P4_2/nnm (134)
# Uncorrected energy ... -5.324 eV/atom


# Ca2YOs GGA-PBEsol optimized geometry
data_Ca2YOs
_cell_length_a 4.304
_cell_length_b 4.304
_cell_length_c 5.089
_cell_angle_alpha 90.00
_cell_angle_beta 90.00
_cell_angle_gamma 90.00
_symmetry_space_group_name_H-M 'P 1'
_symmetry_Int_Tables_number 1
loop_
_symmetry_equiv_pos_as_xyz
'x,y,z'
loop_
_atom_site_label
_atom_site_type_symbol
_atom_site_fract_x
_atom_site_fract_y
_atom_site_fract_z
Ca1 Ca 0.000 0.500 0.000
Ca2 Ca 0.500 0.000 0.000
Y1 Y 0.000 0.000 0.500
Os1 Os 0.500 0.500 0.500
# V ... 94.3 Å³ per cell
# ΔE to the lowest computed polymorph ... 0.329 eV/f.u.
# Density of states at the Fermi level ... 1.06 states/eV/atom
# Space-group type ... P4/mmm (123)
# Uncorrected energy ... -5.449 eV/atom


# Sc2BeSi GGA-PBEsol optimized geometry
data_Sc2BeSi
_cell_length_a 6.342
_cell_length_b 6.342
_cell_length_c 6.342
_cell_angle_alpha 90.00
_cell_angle_beta 90.00
_cell_angle_gamma 90.00
_symmetry_space_group_name_H-M 'P 1'
_symmetry_Int_Tables_number 1
loop_
_symmetry_equiv_pos_as_xyz
'x,y,z'
loop_
_atom_site_label
_atom_site_type_symbol
_atom_site_fract_x
_atom_site_fract_y
_atom_site_fract_z
Sc1 Sc 0.250 0.250 0.250
Sc2 Sc 0.250 0.250 0.750
Sc3 Sc 0.250 0.750 0.250
Sc4 Sc 0.250 0.750 0.750
Sc5 Sc 0.750 0.250 0.250
Sc6 Sc 0.750 0.250 0.750
Sc7 Sc 0.750 0.750 0.250
Sc8 Sc 0.750 0.750 0.750
Be1 Be 0.000 0.000 0.000
Be2 Be 0.000 0.500 0.500
Be3 Be 0.500 0.000 0.500
Be4 Be 0.500 0.500 0.000
Si1 Si 0.000 0.000 0.500
Si2 Si 0.000 0.500 0.000
Si3 Si 0.500 0.000 0.000
Si4 Si 0.500 0.500 0.500
# V ... 255.1 Å³ per cell
# ΔE_f (raw) ... -38.33 kJ per mole of atoms
# ΔE to the lowest computed polymorph ... 0.502 eV/f.u.
# Density of states at the Fermi level ... 0.34 states/eV/atom
# Space-group type ... Fm-3m (225)
# Uncorrected energy ... -6.136 eV/atom


# KZn2Hg GGA-PBEsol optimized geometry
data_KZn2Hg
_cell_length_a 6.350
_cell_length_b 10.621
_cell_length_c 2.944
_cell_angle_alpha 90.00
_cell_angle_beta 111.70
_cell_angle_gamma 90.00
_symmetry_space_group_name_H-M 'P 1'
_symmetry_Int_Tables_number 1
loop_
_symmetry_equiv_pos_as_xyz
'x,y,z'
loop_
_atom_site_label
_atom_site_type_symbol
_atom_site_fract_x
_atom_site_fract_y
_atom_site_fract_z
K1 K 0.000 0.000 0.000
K2 K 0.500 0.500 0.000
Zn1 Zn 0.250 0.250 0.500
Zn2 Zn 0.250 0.750 0.500
Zn3 Zn 0.750 0.250 0.500
Zn4 Zn 0.750 0.750 0.500
Hg1 Hg 0.000 0.500 0.000
Hg2 Hg 0.500 0.000 0.000
# V ... 184.5 Å³ per cell
# Density of states at the Fermi level ... 0.38 states/eV/atom
# Space-group type ... C2/m (12)
# Uncorrected energy ... -0.955 eV/atom


Among the records above, which one has the lowest uncorrected energy? Sc2BeSi


Which of these has the lowest V? Ca2YOs


The highest uncorrected energy belongs to which entry? KZn2Hg


Copy entry 2 word for word.
# TePPt2 GGA-PBEsol optimized geometry
data_TePPt2
_cell_length_a 4.463
_cell_length_b 4.762
_cell_length_c 6.426
_cell_angle_alpha 90.00
_cell_angle_beta 90.00
_cell_angle_gamma 90.00
_symmetry_space_group_name_H-M 'P 1'
_symmetry_Int_Tables_number 1
loop_
_symmetry_equiv_pos_as_xyz
'x,y,z'
loop_
_atom_site_label
_atom_site_type_symbol
_atom_site_fract_x
_atom_site_fract_y
_atom_site_fract_z
Te1 Te 0.000 0.000 0.000
Te2 Te 0.500 0.500 0.500
P1 P 0.000 0.000 0.500
P2 P 0.500 0.500 0.000
Pt1 Pt 0.000 0.500 0.231
Pt2 Pt 0.000 0.500 0.769
Pt3 Pt 0.500 0.000 0.269
Pt4 Pt 0.500 0.000 0.731
# V ... 136.6 Å³ per cell
# ΔE_f (raw) ... 14.47 kJ per mole of atoms
# ΔE to the lowest computed polymorph ... 1.769 eV/f.u.
# Density of states at the Fermi level ... 0.38 states/eV/atom
# Space-group type ... Immm (71)
# Uncorrected energy ... -5.661 eV/atom